This record from Alexandria via LeMat-Bulk describes a relaxed CsRe3H crystal. The functional is PBE.

```
data_CsRe3H
_symmetry_space_group_name_H-M 'P m -3 m'
_symmetry_Int_Tables_number 221
_symmetry_space_group_name_Hall '-P 4 2 3'
_cell_length_a 4.980
_cell_length_b 4.980
_cell_length_c 4.980
_cell_angle_alpha 90.00
_cell_angle_beta 90.00
_cell_angle_gamma 90.00
loop_
_atom_site_label
_atom_site_type_symbol
_atom_site_fract_x
_atom_site_fract_y
_atom_site_fract_z
Cs1 Cs 0.000 0.000 0.000
Re1 Re 0.000 0.000 0.500
H1 H 0.500 0.500 0.500
```

Its density of states at the Fermi level is 6.9 states/eV/f.u. The value obtained for the total DFT energy (no corrections) is -3.5411 eV per atom. The value obtained for the excess energy over the best structure of this formula in the dataset is 12.885 eV/f.u. The value obtained for the size of the total moment is 4.778 μB/f.u.

=====

This record from Alexandria via LeMat-Bulk describes a relaxed Cs3ReH6 crystal. The functional is PBE.

```
data_Cs3ReH6
_symmetry_space_group_name_H-M 'C 1 2/m 1'
_symmetry_Int_Tables_number 12
_symmetry_space_group_name_Hall '-C 2y'
_cell_length_a 11.303
_cell_length_b 6.561
_cell_length_c 6.559
_cell_angle_alpha 90.00
_cell_angle_beta 124.91
_cell_angle_gamma 90.00
loop_
_atom_site_label
_atom_site_type_symbol
_atom_site_fract_x
_atom_site_fract_y
_atom_site_fract_z
Cs1 Cs 0.000 0.000 0.000
Cs2 Cs 0.250 0.000 0.749
Re1 Re 0.000 0.500 0.500
H1 H 0.002 0.307 0.695
H2 H 0.193 0.500 0.695
```

Its density of states at the Fermi level is 5.4 states/eV/f.u. The value obtained for the total DFT energy (no corrections) is -3.5464 eV per atom. The value obtained for the size of the total moment is 2.000 μB/f.u.